No. 1
Here is crystalline FeAgIr2 at its relaxed geometry from the Alexandria database. Energies are from GGA-PBE.

```
4
Lattice="2.7539 -3.8928 0.0000 2.7539 3.8928 0.0000 0.0000 0.0000 2.7548" Properties=species:S:1:pos:R:3 pbc="T T T"
Fe 0.0000 0.0000 0.0000
Ag 2.7539 0.0000 0.0000
Ir 1.3770 1.9464 1.3774
Ir 1.3770 -1.9464 1.3774
```

Properties
Polymorph energy (0 for the lowest one) in meV per atom: 267
Energy of formation in eV per atom: 0.393


No. 2
Here is crystalline NbAg2Sn at its relaxed geometry from the Alexandria database. Energies are from GGA-PBE.

```
8
Lattice="-3.8350 3.8350 2.8445 3.8350 -3.8350 2.8445 3.8350 3.8350 -2.8445" Properties=species:S:1:pos:R:3 pbc="T T T"
Nb 0.0000 0.0000 0.0000
Nb 0.0000 3.8350 1.4222
Ag 1.9175 -1.8924 2.1333
Ag 1.9426 1.9175 0.7111
Ag 1.9175 5.7274 -0.7111
Ag 1.8924 1.9175 3.5556
Sn 3.8350 0.0000 1.4222
Sn 0.0000 0.0000 2.8445
```

Properties
Energy of formation in eV per atom: 0.487


No. 3
Here is crystalline LaHoTc2O8 at its relaxed geometry from the Alexandria database. Energies are from GGA-PBE.

```
12
Lattice="4.4997 0.0000 0.0000 -2.2499 3.8969 0.0000 0.0000 0.0000 13.9614" Properties=species:S:1:pos:R:3 pbc="T T T"
La 0.0000 0.0000 0.0000
Ho 0.0000 0.0000 6.9807
Tc 0.0000 2.5979 7.6396
Tc 2.2499 1.2990 6.3218
O -0.8782 2.0909 12.5509
O 0.0000 2.5979 9.3475
O 0.8782 2.0909 12.5509
O 0.0000 3.6120 12.5509
O 2.2499 0.2849 1.4105
O 1.3717 1.8060 1.4105
O 2.2499 1.2990 4.6139
O 3.1281 1.8060 1.4105
```

Properties
Final energy in eV/atom: -5.83


No. 4
Here is crystalline BaInNi at its relaxed geometry from the Alexandria database. Energies are from GGA-PBE.

```
6
Lattice="6.2421 -2.1810 0.0000 6.2421 2.1810 0.0000 -4.9200 0.0000 6.1071" Properties=species:S:1:pos:R:3 pbc="T T T"
Ba -0.6548 0.0000 1.8849
Ba 8.2190 0.0000 4.2222
In -0.8896 0.0000 5.4574
In 8.4538 0.0000 0.6497
Ni 3.1975 0.0000 1.9986
Ni 4.3666 0.0000 4.1085
```

Properties
Energy of formation in eV per atom: -0.197